The following is a PBE-GGA calculation of an optimized crystal structure of CeSmLuCd, from Alexandria.

Properties
* energy of formation from the pure elements: 0 kJ per mole of atoms
* symmetry: F-43m

Unit cell a=5.4631 b=5.4631 c=5.4631 alpha=60.00 beta=60.00 gamma=60.00
Last column: magnetic moment on the atom in μB.
Fractional coordinates of all 4 atoms:
Lu1 0.2500 0.2500 0.2500  0.21
Ce1 0.5000 0.5000 0.5000  0.83
Sm1 0.0000 0.0000 0.0000  0.12
Cd1 0.7500 0.7500 0.7500  -0.01